Entry 1:
VASP calculation (PBE-GGA) on an optimized crystal structure of Sr2TlW.

## Properties
The distance to the lowest polymorph of the same formula comes out at 16 meV per atom. The formation energy comes out at 0.730 eV/atom.

abc: 3.214 3.240 10.537
angles: 90.00 90.00 90.00
Space group Pmmm (No. 47)
Unique sites:
Sr (0.000, 0.000, 0.235) x2
Tl (0.500, 0.500, 0.500) x1
W (0.500, 0.500, 0.000) x1



Entry 2:
VASP calculation (PBE-GGA) on an optimized crystal structure of Sm2Y8Th3.

## Properties
The distance to the lowest polymorph of the same formula comes out at 0 meV per atom. The formation energy comes out at 0.163 eV/atom.

abc: 23.063 6.818 5.672
angles: 90.00 104.19 90.00
Space group C2/m (No. 12)
Unique sites:
Sm (0.224, 0.000, 0.225) x4
Y (0.075, 0.000, 0.076) x4
Y (0.149, 0.240, 0.650) x8
Y (0.181, 0.500, 0.182) x4
Th (0.000, 0.232, 0.500) x4
Th (0.000, 0.500, 0.000) x2



Entry 3:
VASP calculation (PBE-GGA) on an optimized crystal structure of Na3Hf3CoS8.

## Properties
Its raw total energy is -6.22 eV/atom.

abc: 7.2905 7.2905 20.3786
angles: 90.00 90.00 120.00
Space group R-3m (No. 166, hexagonal axes)
Unique sites:
Na (0.0000, 0.5000, 0.0000) x9
Hf (0.0000, 0.5000, 0.5000) x9
Co (0.0000, 0.0000, 0.5000) x3
S (0.0000, 0.0000, 0.2402) x6
S (0.0019, 0.5010, 0.2361) x18



no.,density of states at the Fermi level (states/eV per cell),total moment (μB per atom)
1,3.8,0.00
2,42.3,0.00
3,25.1,0.16